[1]
Density functional theory data (GGA-PBEsol) for a relaxed LiFe2Hg crystal.

Energy relative to the elements in eV per atom: 0.35
V in Å³ per cell: 56
Total moment in μB per atom: 1.25

```
LiFe2Hg
1.0
2.674 0.000 0.000
0.000 4.067 0.000
0.000 0.000 5.119
Li Fe Hg
1 2 1
direct
0.000 0.000 0.000 Li
0.500 0.500 0.229 Fe
0.500 0.500 0.771 Fe
0.000 0.000 0.500 Hg
```

---

[2]
Density functional theory data (GGA-PBEsol) for a relaxed NaMn2Si crystal.

Formation energy from raw total energies in meV/atom: 454
V in Å³ per cell: 53
Total moment in μB per atom: 1.30

```
NaMn2Si
1.0
0.000 2.973 2.973
2.973 0.000 2.973
2.973 2.973 0.000
Na Mn Si
1 2 1
direct
0.000 0.000 0.000 Na
0.250 0.250 0.250 Mn
0.750 0.750 0.750 Mn
0.500 0.500 0.500 Si
```

---

[3]
Density functional theory data (GGA-PBEsol) for a relaxed ReHgBr2 crystal.

Distance to the lowest polymorph of the same formula in eV per atom: 0.941
Formation energy from raw total energies in meV/atom: 1305
V in Å³ per cell: 90
Total moment in μB per atom: 1.20

```
ReHgBr2
1.0
0.000 3.563 3.563
3.563 0.000 3.563
3.563 3.563 0.000
Re Hg Br
1 1 2
direct
0.000 0.000 0.000 Re
0.250 0.250 0.250 Hg
0.500 0.500 0.500 Br
0.750 0.750 0.750 Br
```

---

[4]
Density functional theory data (GGA-PBEsol) for a relaxed CoHg2Cl crystal.

Distance to the lowest polymorph of the same formula in eV per atom: 0.427
Formation energy from raw total energies in meV/atom: 493
V in Å³ per cell: 76
Total moment in μB per atom: 0.47

```
CoHg2Cl
1.0
-2.094 2.094 4.314
2.094 -2.094 4.314
2.094 2.094 -4.314
Co Hg Cl
1 2 1
direct
0.000 0.000 0.000 Co
0.500 0.500 0.000 Hg
0.750 0.250 0.500 Hg
0.250 0.750 0.500 Cl
```